# 1
Density functional theory data (PBE-GGA) for a relaxed OsRu2Cl crystal.

Lattice parameters (Å, degrees): 2.789 4.556 4.614 90.00 90.00 90.00
Space group Pmmm (No. 47)
One atom of each set of equivalent atoms:
Os 0.000 0.000 0.000 (multiplicity 1)
Ru 0.000 0.500 0.500 (multiplicity 1)
Ru 0.500 0.500 0.000 (multiplicity 1)
Cl 0.500 0.000 0.500 (multiplicity 1)

Output
The formation energy without anion corrections is 1088 meV/atom. The volume comes out at 58.6 Å³ per cell. The magnetic moment comes out at 0.0 Bohr magnetons per cell.

---

# 2
Density functional theory data (PBE-GGA) for a relaxed Ag2TeS3 crystal.

Lattice parameters (Å, degrees): 11.506 8.451 6.590 90.00 90.00 90.00
Space group Cmc2_1 (No. 36)
One atom of each set of equivalent atoms:
Ag 0.165 0.151 0.000 (multiplicity 8)
Te 0.000 0.292 0.473 (multiplicity 4)
S 0.000 0.304 0.835 (multiplicity 4)
S 0.173 0.142 0.390 (multiplicity 8)

Output
The formation energy without anion corrections is -4 meV/atom. The volume comes out at 640.8 Å³ per cell. The magnetic moment comes out at 0.0 Bohr magnetons per cell.

---

# 3
Density functional theory data (PBE-GGA) for a relaxed KP2Au crystal.

Lattice parameters (Å, degrees): 3.408 4.862 12.577 90.00 90.00 90.00
Space group Imm2 (No. 44)
One atom of each set of equivalent atoms:
K 0.000 0.000 0.000 (multiplicity 2)
P 0.000 0.000 0.331 (multiplicity 2)
P 0.000 0.500 0.718 (multiplicity 2)
Au 0.000 0.500 0.273 (multiplicity 2)

Output
The volume comes out at 208.3 Å³ per cell. Its total DFT energy (no corrections) is -3.84 eV/atom. The magnetic moment comes out at 0.0 Bohr magnetons per cell.

---

# 4
Density functional theory data (PBE-GGA) for a relaxed BaAgPb2 crystal.

Lattice parameters (Å, degrees): 3.876 5.767 11.408 90.00 90.00 90.00
Space group Immm (No. 71)
One atom of each set of equivalent atoms:
Ba 0.000 0.000 0.000 (multiplicity 2)
Ag 0.000 0.000 0.500 (multiplicity 2)
Pb 0.000 0.500 0.212 (multiplicity 4)

Output
The volume comes out at 255.0 Å³ per cell. Its total DFT energy (no corrections) is -3.22 eV/atom. The magnetic moment comes out at 0.0 Bohr magnetons per cell.

---

# 5
Density functional theory data (PBE-GGA) for a relaxed Mg2ZnN crystal.

Lattice parameters (Å, degrees): 6.168 6.168 8.219 90.00 90.00 90.00
Space group I-42d (No. 122)
One atom of each set of equivalent atoms:
Mg 0.116 0.250 0.125 (multiplicity 8)
Zn 0.000 0.000 0.500 (multiplicity 4)
N 0.000 0.000 0.000 (multiplicity 4)

Output
The formation energy without anion corrections is -105 meV/atom. The volume comes out at 312.7 Å³ per cell. The magnetic moment comes out at 0.0 Bohr magnetons per cell.

---

# 6
Density functional theory data (PBE-GGA) for a relaxed Rb2ZrGeAs crystal.

Lattice parameters (Å, degrees): 7.390 7.390 5.076 90.00 90.00 90.00
Space group P4/mmm (No. 123)
One atom of each set of equivalent atoms:
Rb 0.000 0.500 0.000 (multiplicity 2)
Zr 0.000 0.000 0.000 (multiplicity 1)
Ge 0.500 0.500 0.500 (multiplicity 1)
As 0.000 0.000 0.500 (multiplicity 1)

Output
The volume comes out at 277.2 Å³ per cell. Its total DFT energy (no corrections) is -3.19 eV/atom. The magnetic moment comes out at 3.5 Bohr magnetons per cell.

---

# 7
Density functional theory data (PBE-GGA) for a relaxed LaCe3Tm2Te6 crystal.

Lattice parameters (Å, degrees): 7.643 13.258 7.781 90.00 109.18 90.00
Space group C2/m (No. 12)
One atom of each set of equivalent atoms:
La 0.000 0.000 0.000 (multiplicity 2)
Ce 0.000 0.158 0.500 (multiplicity 4)
Ce 0.000 0.500 0.500 (multiplicity 2)
Tm 0.000 0.331 0.000 (multiplicity 4)
Te 0.230 0.500 0.234 (multiplicity 4)
Te 0.245 0.327 0.756 (multiplicity 8)

Output
The formation energy without anion corrections is -1345 meV/atom. The volume comes out at 744.7 Å³ per cell. The magnetic moment comes out at 7.1 Bohr magnetons per cell.

---

# 8
Density functional theory data (PBE-GGA) for a relaxed YErTlZn crystal.

Lattice parameters (Å, degrees): 7.365 7.365 7.365 90.00 90.00 90.00
Space group F-43m (No. 216)
One atom of each set of equivalent atoms:
Y 0.000 0.000 0.000 (multiplicity 4)
Er 0.000 0.000 0.500 (multiplicity 4)
Tl 0.250 0.250 0.250 (multiplicity 4)
Zn 0.250 0.250 0.750 (multiplicity 4)

Output
The volume comes out at 399.6 Å³ per cell. Its total DFT energy (no corrections) is -4.00 eV/atom. The magnetic moment comes out at 0.0 Bohr magnetons per cell.

---

Question: Which value of magnetic moment does entry 4 give?
Answer: 0.0 Bohr magnetons per cell